Arrangement w

## La4Pm2Cd (PBE)

Data for a relaxed structure of La4Pm2Cd.

## Properties
Space group: Fdd2 (43)
Spin magnetization: 0.00 μB per cell

a = 12.4833 Å, b = 6.8538 Å, c = 13.4569 Å
α = 66.95°, β = 30.34°, γ = 82.71°
Atoms (fractional coordinates):
La 0.1740 0.8260 0.2648
La 0.4398 0.5814 0.2851
La 0.5148 0.9852 0.4240
La 0.5563 0.9649 0.6686
La 0.5814 0.4398 0.6937
La 0.8260 0.1740 0.7352
La 0.9649 0.5563 0.8102
La 0.9852 0.5148 0.0760
Pm 0.0147 0.9759 0.1312
Pm 0.1188 0.3717 0.2353
Pm 0.3717 0.1188 0.2741
Pm 0.9759 0.0147 0.8783
Cd 0.4110 0.4110 0.5890
Cd 0.6610 0.6610 0.8390

***

Arrangement x

## La4Pm2Cd (PBE)

Data for a relaxed structure of La4Pm2Cd.

## Properties
Space group: C2/m (12)
Spin magnetization: 0.00 μB per cell

a = 8.7603 Å, b = 8.7603 Å, c = 8.8280 Å
α = 116.54°, β = 116.54°, γ = 23.84°
Atoms (fractional coordinates):
La 0.0816 0.0816 0.2007
La 0.3708 0.3708 0.1170
La 0.6292 0.6292 0.8830
La 0.9184 0.9184 0.7993
Pm 0.2174 0.2174 0.6400
Pm 0.7826 0.7826 0.3600
Cd 0.0000 0.0000 0.5000

***

Ranked by calculated energy, most stable first: arrangement w, arrangement x.

***

Arrangement w

## La2Pm2Cd (PBE)

Data for a relaxed structure of La2Pm2Cd.

## Properties
Space group: I4/mmm (139)
Spin magnetization: 0.40 μB per cell

a = 12.0106 Å, b = 12.0106 Å, c = 12.0106 Å
α = 162.02°, β = 162.02°, γ = 25.53°
Atoms (fractional coordinates):
La 0.1937 0.1937 0.0000
La 0.8063 0.8063 0.0000
Pm 0.4151 0.4151 0.0000
Pm 0.5849 0.5849 0.0000
Cd 0.0000 0.0000 0.0000

***

Arrangement x

## La2Pm2Cd (PBE)

Data for a relaxed structure of La2Pm2Cd.

## Properties
Space group: C2/m (12)
Spin magnetization: 0.00 μB per cell

a = 6.4615 Å, b = 6.4615 Å, c = 8.7118 Å
α = 106.93°, β = 106.93°, γ = 94.21°
Atoms (fractional coordinates):
La 0.1616 0.1616 0.4268
La 0.2857 0.2857 0.8786
La 0.7143 0.7143 0.1214
La 0.8384 0.8384 0.5732
Pm 0.2308 0.6049 0.2789
Pm 0.3951 0.7692 0.7211
Pm 0.6049 0.2308 0.2789
Pm 0.7692 0.3951 0.7211
Cd 0.1580 0.8420 0.0000
Cd 0.8420 0.1580 0.0000

***

Ranked by calculated energy, most stable first: arrangement w, arrangement x.